{"formula": "MnCdCl4", "functional": "GGA-PBE", "state": "optimized geometry", "lattice_angstrom": [[-1.0886, -5.6724, 1.3117], [-4.5882, -1.4093, 3.4706], [-4.7317, -2.7172, -2.3045]], "species": ["Cl", "Cl", "Cl", "Cl", "Mn", "Cd"], "frac_coords": [[0.8749, 0.3750, 0.3750], [0.3750, 0.3750, 0.8749], [0.3750, 0.8749, 0.3750], [0.3750, 0.3750, 0.3750], [0.7500, 0.7500, 0.7500], [0.0000, 0.0000, 0.0000]], "spacegroup": "F-43m (216)", "m_tot_mub_per_cell": 6.41, "e_form_raw_mev_per_atom": 487, "dft_energy_ev_per_atom": -2.42, "e_above_lowest_polymorph_mev_per_atom": 1568}

{"formula": "Zr2Ge2Sb", "functional": "GGA-PBE", "state": "optimized geometry", "lattice_angstrom": [[-0.0947, 6.6766, -3.1520], [-4.8704, 2.3127, 5.0450], [2.8281, 1.0926, 2.2294]], "species": ["Zr", "Zr", "Zr", "Zr", "Sb", "Sb", "Ge", "Ge", "Ge", "Ge"], "frac_coords": [[0.1790, 0.6790, 0.5000], [0.6790, 0.8210, 0.5000], [0.8210, 0.3210, 0.5000], [0.3210, 0.1790, 0.5000], [0.5000, 0.5000, 0.0000], [0.0000, 0.0000, 0.0000], [0.8773, 0.6227, 0.0000], [0.6227, 0.1227, 0.0000], [0.3773, 0.8773, 0.0000], [0.1227, 0.3773, 0.0000]], "spacegroup": "P4/mbm (127)", "m_tot_mub_per_cell": 0.00, "e_form_raw_mev_per_atom": -392, "dft_energy_ev_per_atom": -6.48, "e_above_lowest_polymorph_mev_per_atom": 171}

{"formula": "Hf4VN", "functional": "GGA-PBE", "state": "optimized geometry", "lattice_angstrom": [[6.2112, 0.0000, -0.4558], [0.0000, 5.8664, 0.0000], [-0.5475, 0.0000, 5.9139]], "species": ["V", "V", "N", "N", "Hf", "Hf", "Hf", "Hf", "Hf", "Hf", "Hf", "Hf"], "frac_coords": [[0.0000, 0.0000, 0.0000], [0.5000, 0.5000, 0.0000], [0.5000, 0.0000, 0.5000], [0.0000, 0.5000, 0.5000], [0.1089, 0.3630, 0.8366], [0.6887, 0.6739, 0.6078], [0.8113, 0.1739, 0.3922], [0.3911, 0.8630, 0.1634], [0.8911, 0.6370, 0.1634], [0.3113, 0.3261, 0.3922], [0.6089, 0.1370, 0.8366], [0.1887, 0.8261, 0.6078]], "spacegroup": "P2_1/c (14)", "m_tot_mub_per_cell": 1.98, "e_form_raw_mev_per_atom": -378, "dft_energy_ev_per_atom": -9.92}

{"formula": "Pr3Nd2Cd4", "functional": "GGA-PBE", "state": "optimized geometry", "lattice_angstrom": [[-4.0768, -2.8681, -4.7685], [-0.3577, -7.0238, 4.5305], [-5.7919, 4.8324, 7.0347]], "species": ["Pr", "Pr", "Pr", "Pr", "Pr", "Pr", "Cd", "Cd", "Cd", "Cd", "Cd", "Cd", "Cd", "Cd", "Nd", "Nd", "Nd", "Nd"], "frac_coords": [[0.0000, 0.0000, 0.0000], [0.5000, 0.5000, 0.0000], [0.0017, 0.7500, 0.5034], [0.5017, 0.7500, 0.5034], [0.4983, 0.2500, 0.4966], [0.9983, 0.2500, 0.4966], [0.3284, 0.2500, 0.1569], [0.8284, 0.2500, 0.1569], [0.8416, 0.0121, 0.6833], [0.6716, 0.7500, 0.8431], [0.6584, 0.5121, 0.3167], [0.1584, 0.9879, 0.3167], [0.1716, 0.7500, 0.8431], [0.3416, 0.4879, 0.6833], [0.9105, 0.4029, 0.8209], [0.5895, 0.9029, 0.1791], [0.4105, 0.0971, 0.8209], [0.0895, 0.5971, 0.1791]], "spacegroup": "Cmce (64)", "m_tot_mub_per_cell": 0.00, "formation_energy_ev_per_fu": -1.27, "dft_energy_ev_per_atom": -3.20}

{"formula": "KCd2GaIr", "functional": "GGA-PBE", "state": "optimized geometry", "lattice_angstrom": [[5.3238, 0.0000, 0.0000], [0.0000, 4.8087, 0.0000], [0.0000, 0.0000, 5.3238]], "species": ["Cd", "Cd", "Ir", "K", "Ga"], "frac_coords": [[0.5000, 0.0000, 0.0000], [0.0000, 0.0000, 0.5000], [0.0000, 0.0000, 0.0000], [0.5000, 0.5000, 0.5000], [0.0000, 0.5000, 0.0000]], "spacegroup": "P4/mmm (123)", "m_tot_mub_per_cell": 0.00, "formation_energy_ev_per_fu": -1.00, "dft_energy_ev_per_atom": -3.16}

{"formula": "ThCu4Pt8", "functional": "GGA-PBE", "state": "optimized geometry", "lattice_angstrom": [[5.1167, 0.0000, 0.0000], [2.5584, 6.3301, 0.0000], [2.5584, 0.0000, 6.3301]], "species": ["Th", "Cu", "Cu", "Cu", "Cu", "Pt", "Pt", "Pt", "Pt", "Pt", "Pt", "Pt", "Pt"], "frac_coords": [[0.0000, 0.0000, 0.0000], [0.5000, 0.5000, 0.0000], [0.0000, 0.5000, 0.0000], [0.5000, 0.0000, 0.5000], [0.0000, 0.0000, 0.5000], [0.5000, 0.2212, 0.7788], [0.3437, 0.6563, 0.6563], [0.6563, 0.3437, 0.3437], [0.0000, 0.6563, 0.3437], [0.7212, 0.7788, 0.7788], [0.5000, 0.7788, 0.2212], [0.0000, 0.3437, 0.6563], [0.2788, 0.2212, 0.2212]], "spacegroup": "I4/mmm (139)", "m_tot_mub_per_cell": 0.00, "formation_energy_ev_per_fu": -5.36, "dft_energy_ev_per_atom": -5.96}